Here is crystalline SrGe2Os at its relaxed geometry from Alexandria. Energies are from GGA-PBE.

Results
Space group: I4_1/amd
V (Å³/atom): 27.791
Final energy (eV per atom): -5.6277
E_form (eV/f.u.): -0.36
Crystal system: tetragonal

Cell lengths 5.3728, 5.3728, 15.4037 Å; angles 90.00, 90.00, 90.00 degrees
Atoms (fractional coordinates):
Sr  0.0000  0.2500  0.3750
Sr  0.0000  0.7500  0.6250
Sr  0.5000  0.2500  0.1250
Sr  0.5000  0.7500  0.8750
Ge  0.0000  0.0000  0.0000
Ge  0.0000  0.5000  0.0000
Ge  0.2500  0.2500  0.7500
Ge  0.2500  0.7500  0.2500
Ge  0.5000  0.0000  0.5000
Ge  0.5000  0.5000  0.5000
Ge  0.7500  0.2500  0.7500
Ge  0.7500  0.7500  0.2500
Os  0.0000  0.2500  0.8750
Os  0.0000  0.7500  0.1250
Os  0.5000  0.2500  0.6250
Os  0.5000  0.7500  0.3750